A) Below is an optimized crystal structure of TeSeF3, with properties calculated at the PBE level.

```
TeSeF3
1.0
4.504 0.000 0.000
0.000 4.504 0.000
0.000 0.000 4.504
Te Se F
1 1 3
direct
0.000 0.000 0.000
0.500 0.500 0.500
0.000 0.000 0.500
0.000 0.500 0.000
0.500 0.000 0.000
```

Values from the calculation:
**Space group**: No. 221

=====

B) Below is an optimized crystal structure of TeSeF3, with properties calculated at the PBE level.

```
TeSeF3
1.0
4.498 0.000 0.000
0.000 4.498 0.000
0.000 0.000 4.498
Te Se F
1 1 3
direct
0.000 0.000 0.000
0.500 0.500 0.500
0.000 0.500 0.500
0.500 0.000 0.500
0.500 0.500 0.000
```

Values from the calculation:
**Space group**: No. 221

=====

Last place for stability: B)

=====

A) Below is an optimized crystal structure of Ti2SeF, with properties calculated at the PBE level.

```
Ti2SeF
1.0
6.108 0.000 0.000
0.000 6.108 0.000
0.000 0.000 6.108
Ti Se F
8 4 4
direct
0.250 0.250 0.250
0.250 0.250 0.750
0.250 0.750 0.250
0.250 0.750 0.750
0.750 0.250 0.250
0.750 0.250 0.750
0.750 0.750 0.250
0.750 0.750 0.750
0.000 0.000 0.000
0.000 0.500 0.500
0.500 0.000 0.500
0.500 0.500 0.000
0.000 0.000 0.500
0.000 0.500 0.000
0.500 0.000 0.000
0.500 0.500 0.500
```

Values from the calculation:
**Space group**: No. 225

=====

B) Below is an optimized crystal structure of Ti2SeF, with properties calculated at the PBE level.

```
Ti2SeF
1.0
4.562 0.000 0.000
0.000 4.562 0.000
0.000 0.000 13.436
Ti Se F
8 4 4
direct
0.152 0.250 0.125
0.250 0.652 0.375
0.250 0.848 0.875
0.348 0.250 0.625
0.652 0.750 0.625
0.750 0.152 0.875
0.750 0.348 0.375
0.848 0.750 0.125
0.000 0.000 0.500
0.000 0.500 0.750
0.500 0.000 0.250
0.500 0.500 0.000
0.000 0.000 0.000
0.000 0.500 0.250
0.500 0.000 0.750
0.500 0.500 0.500
```

Values from the calculation:
**Space group**: No. 122

=====

Last place for stability: B)

=====

A) Below is an optimized crystal structure of TiSeF2, with properties calculated at the PBE level.

```
TiSeF2
1.0
4.226 0.000 0.000
0.000 4.226 0.000
0.000 0.000 13.485
Ti Se F
4 4 8
direct
0.000 0.000 0.000
0.000 0.500 0.250
0.500 0.000 0.750
0.500 0.500 0.500
0.000 0.000 0.500
0.000 0.500 0.750
0.500 0.000 0.250
0.500 0.500 0.000
0.079 0.250 0.125
0.250 0.579 0.375
0.250 0.921 0.875
0.421 0.250 0.625
0.579 0.750 0.625
0.750 0.079 0.875
0.750 0.421 0.375
0.921 0.750 0.125
```

Values from the calculation:
**Space group**: No. 122

=====

B) Below is an optimized crystal structure of TiSeF2, with properties calculated at the PBE level.

```
TiSeF2
1.0
5.922 0.000 0.000
0.000 5.922 0.000
0.000 0.000 5.922
Ti Se F
4 4 8
direct
0.000 0.000 0.000
0.000 0.500 0.500
0.500 0.000 0.500
0.500 0.500 0.000
0.000 0.000 0.500
0.000 0.500 0.000
0.500 0.000 0.000
0.500 0.500 0.500
0.250 0.250 0.250
0.250 0.250 0.750
0.250 0.750 0.250
0.250 0.750 0.750
0.750 0.250 0.250
0.750 0.250 0.750
0.750 0.750 0.250
0.750 0.750 0.750
```

Values from the calculation:
**Space group**: No. 225

=====

Last place for stability: B)

=====

A) Below is an optimized crystal structure of TlSeF3, with properties calculated at the PBE level.

```
TlSeF3
1.0
4.524 0.000 0.000
0.000 4.524 0.000
0.000 0.000 4.524
Tl Se F
1 1 3
direct
0.000 0.000 0.000
0.500 0.500 0.500
0.000 0.500 0.500
0.500 0.000 0.500
0.500 0.500 0.000
```

Values from the calculation:
**Space group**: No. 221

=====

B) Below is an optimized crystal structure of TlSeF3, with properties calculated at the PBE level.

```
TlSeF3
1.0
4.543 0.000 0.000
0.000 4.543 0.000
0.000 0.000 4.543
Tl Se F
1 1 3
direct
0.000 0.000 0.000
0.500 0.500 0.500
0.000 0.000 0.500
0.000 0.500 0.000
0.500 0.000 0.000
```

Values from the calculation:
**Space group**: No. 221

=====

C) Below is an optimized crystal structure of TlSeF3, with properties calculated at the PBE level.

```
TlSeF3
1.0
5.716 0.000 0.000
-1.350 6.440 0.000
-1.585 -3.418 5.511
Tl Se F
2 2 6
direct
0.107 0.346 0.193
0.893 0.654 0.807
0.315 0.054 0.682
0.685 0.946 0.318
0.016 0.251 0.555
0.352 0.685 0.094
0.453 0.835 0.710
0.547 0.165 0.290
0.648 0.315 0.906
0.984 0.749 0.445
```

Values from the calculation:
**Space group**: No. 2

=====

Last place for stability: B)